# 1
Entry from OQMD: Nd3Sc3NiTe2 after structural relaxation (PBE).

Cell lengths 8.127, 8.127, 4.082 Å; angles 90.00, 90.00, 120.00 degrees
Sites, in units of the cell vectors:
Nd 0.000 0.395 0.000
Nd 0.395 0.000 0.000
Nd 0.605 0.605 0.000
Sc 0.000 0.775 0.500
Sc 0.225 0.225 0.500
Sc 0.775 0.000 0.500
Ni 0.000 0.000 0.000
Te 0.333 0.667 0.500
Te 0.667 0.333 0.500

Computed properties:
**Symmetry**: P-62m
**Distance to the lowest polymorph of the same formula**: 0.000 eV/atom


# 2
Entry from OQMD: NdScTlNi2 after structural relaxation (PBE).

Cell lengths 3.630, 7.550, 7.550 Å; angles 29.77, 90.00, 90.00 degrees
Sites, in units of the cell vectors:
Nd 0.000 0.000 0.000
Sc 0.000 0.280 0.280
Tl 0.500 0.647 0.647
Ni 0.500 0.428 0.428
Ni 0.500 0.832 0.832

Computed properties:
**Symmetry**: Amm2


# 3
Entry from OQMD: NdSi4Ni3 after structural relaxation (PBE).

Cell lengths 3.974, 4.026, 7.388 Å; angles 90.00, 92.45, 90.00 degrees
Sites, in units of the cell vectors:
Nd 0.000 0.000 0.000
Si 0.017 0.500 0.333
Si 0.462 0.500 0.841
Si 0.537 0.000 0.315
Si 0.572 0.000 0.653
Ni 0.064 0.000 0.485
Ni 0.507 0.500 0.159
Ni 0.935 0.500 0.672

Computed properties:
**Symmetry**: Pm


# 4
Entry from OQMD: Nd3Si2Ni6 after structural relaxation (PBE).

Cell lengths 7.730, 7.730, 7.730 Å; angles 109.47, 109.47, 109.47 degrees
Sites, in units of the cell vectors:
Nd 0.000 0.285 0.285
Nd 0.000 0.715 0.715
Nd 0.285 0.000 0.285
Nd 0.285 0.285 0.000
Nd 0.715 0.000 0.715
Nd 0.715 0.715 0.000
Si 0.000 0.000 0.500
Si 0.000 0.500 0.000
Si 0.500 0.000 0.000
Si 0.500 0.500 0.500
Ni 0.000 0.331 0.669
Ni 0.000 0.669 0.331
Ni 0.331 0.000 0.669
Ni 0.331 0.331 0.661
Ni 0.331 0.661 0.331
Ni 0.331 0.669 0.000
Ni 0.339 0.669 0.669
Ni 0.661 0.331 0.331
Ni 0.669 0.000 0.331
Ni 0.669 0.331 0.000
Ni 0.669 0.339 0.669
Ni 0.669 0.669 0.339

Computed properties:
**Symmetry**: Im-3m


# 5
Entry from OQMD: NdSiNi after structural relaxation (PBE).

Cell lengths 7.502, 7.502, 7.502 Å; angles 148.23, 148.23, 45.55 degrees
Sites, in units of the cell vectors:
Nd 0.000 0.000 0.000
Nd 0.750 0.250 0.500
Si 0.331 0.831 0.500
Si 0.581 0.581 0.000
Ni 0.162 0.662 0.500
Ni 0.412 0.412 0.000

Computed properties:
**Symmetry**: I4_1md


# 6
Entry from OQMD: NdSmSi2Ni2 after structural relaxation (PBE).

Cell lengths 4.123, 4.123, 6.662 Å; angles 90.00, 90.00, 90.00 degrees
Sites, in units of the cell vectors:
Nd 0.000 0.000 0.000
Sm 0.500 0.500 0.365
Si 0.000 0.000 0.497
Si 0.500 0.500 0.858
Ni 0.000 0.500 0.678
Ni 0.500 0.000 0.678

Computed properties:
**Symmetry**: P4mm


# 7
Entry from OQMD: NdSiNiSn after structural relaxation (PBE).

Cell lengths 9.094, 9.094, 4.308 Å; angles 90.00, 90.00, 153.08 degrees
Sites, in units of the cell vectors:
Nd 0.122 0.878 0.750
Nd 0.878 0.122 0.250
Si 0.251 0.749 0.250
Si 0.749 0.251 0.750
Ni 0.306 0.694 0.750
Ni 0.694 0.306 0.250
Sn 0.450 0.550 0.750
Sn 0.550 0.450 0.250

Computed properties:
**Symmetry**: Cmcm


# 8
Entry from OQMD: SrNdSi4Ni2 after structural relaxation (PBE).

Cell lengths 4.049, 8.647, 8.647 Å; angles 28.10, 90.00, 90.00 degrees
Sites, in units of the cell vectors:
Sr 0.000 0.000 0.000
Nd 0.500 0.214 0.214
Si 0.000 0.354 0.354
Si 0.000 0.649 0.649
Si 0.500 0.567 0.567
Si 0.500 0.854 0.854
Ni 0.000 0.785 0.785
Ni 0.500 0.423 0.423

Computed properties:
**Symmetry**: Amm2


| no. | spin magnetization (μB per atom) | raw total energy (eV per atom) |
| --- | --- | --- |
| 1 | 0.02 | -5.7599 |
| 2 | 0.00 | -5.3138 |
| 3 | 0.00 | -5.9708 |
| 4 | 0.00 | -5.8655 |
| 5 | 0.00 | -5.9881 |
| 6 | 0.00 | -5.9749 |
| 7 | 0.00 | -5.6530 |
| 8 | 0.00 | -5.5692 |